Compound: Mn4Cu3PbO12
Source: Alexandria
Functional: PBE+U
Structure: relaxed

Final energy = -6.341 eV/atom
Calculated volume = 209.23 Å³/cell
Space-group type = Im-3, No. 204
Magnetization = 15.03 μB per cell
Theoretical density = 6.425 g cm⁻³

a b c (Å): 6.478 6.478 6.478
angles (deg): 109.47 109.47 109.47
Element x y z (fractional)
Mn: 0.500 0.000 0.000
Mn: 0.500 0.500 0.500
Mn: 0.000 0.500 0.000
Mn: 0.000 0.000 0.500
Cu: 0.000 0.500 0.500
Cu: 0.500 0.500 0.000
Cu: 0.500 0.000 0.500
Pb: 0.000 0.000 0.000
O: 0.316 0.826 0.143
O: 0.684 0.174 0.857
O: 0.684 0.826 0.510
O: 0.857 0.684 0.174
O: 0.826 0.143 0.316
O: 0.174 0.490 0.316
O: 0.490 0.316 0.174
O: 0.174 0.857 0.684
O: 0.316 0.174 0.490
O: 0.143 0.316 0.826
O: 0.826 0.510 0.684
O: 0.510 0.684 0.826